(1)
{"formula": "Na2GeSbTe4", "functional": "PBE", "state": "relaxed", "dos_ef_per_ev_fu": 2.6, "raw_formation_energy_ev_per_fu": -3.2, "dft_energy_ry_per_atom": -0.2492, "cell": [[-2.925, -0.325, 3.068], [-5.204, -1.191, -5.089], [3.044, -7.245, 2.135]], "species": ["Te", "Ge", "Na", "Te", "Sb", "Na", "Te", "Te"], "fractional_positions": [[0.000, 0.732, 0.222], [0.500, 0.500, 0.000], [0.000, 0.500, 0.500], [0.000, 0.268, 0.778], [0.000, 0.000, 0.000], [0.500, 0.000, 0.500], [0.500, 0.251, 0.227], [0.500, 0.749, 0.773]]}


(2)
{"formula": "NaGeSb2Te", "functional": "PBE", "state": "relaxed", "dos_ef_per_ev_fu": 5.3, "raw_formation_energy_ev_per_fu": 1.4, "polymorph_energy_mev_per_atom": 0, "dft_energy_ry_per_atom": -0.2337, "cell": [[5.445, 0.000, 0.000], [0.000, 5.445, 0.000], [0.000, 0.000, 5.568]], "species": ["Ge", "Sb", "Na", "Te", "Sb"], "fractional_positions": [[0.000, 0.000, 0.000], [0.500, 0.000, 0.000], [0.500, 0.500, 0.500], [0.000, 0.000, 0.500], [0.000, 0.500, 0.000]]}


(3)
{"formula": "NaGeSbTe2", "functional": "PBE", "state": "relaxed", "dos_ef_per_ev_fu": 3.7, "raw_formation_energy_ev_per_fu": 0.8, "polymorph_energy_mev_per_atom": 0, "dft_energy_ry_per_atom": -0.2284, "cell": [[-5.227, -1.898, -0.323], [1.370, -3.012, -4.480], [1.308, -4.145, 3.187]], "species": ["Te", "Na", "Sb", "Ge", "Te"], "fractional_positions": [[0.500, 0.000, 0.000], [0.500, 0.500, 0.500], [0.000, 0.000, 0.500], [0.000, 0.000, 0.000], [0.000, 0.500, 0.000]]}


(4)
{"formula": "NaTiGeSb2", "functional": "PBE", "state": "relaxed", "dos_ef_per_ev_fu": 7.2, "raw_formation_energy_ev_per_fu": 2.1, "dft_energy_ry_per_atom": -0.2931, "cell": [[-2.549, 2.657, 4.096], [-0.191, -4.114, 2.550], [4.877, 1.180, 2.269]], "species": ["Sb", "Sb", "Na", "Ti", "Ge"], "fractional_positions": [[0.000, 0.000, 0.500], [0.500, 0.000, 0.000], [0.500, 0.500, 0.500], [0.000, 0.500, 0.000], [0.000, 0.000, 0.000]]}


(5)
{"formula": "NaTlGeSb", "functional": "PBE", "state": "relaxed", "dos_ef_per_ev_fu": 2.8, "raw_formation_energy_ev_per_fu": 0.2, "dft_energy_ry_per_atom": -0.2252, "cell": [[-3.231, -3.115, -2.770], [-3.054, -3.509, 2.486], [-5.217, 0.741, 0.232]], "species": ["Tl", "Na", "Ge", "Sb"], "fractional_positions": [[0.750, 0.750, 0.750], [0.500, 0.500, 0.500], [0.000, 0.000, 0.000], [0.250, 0.250, 0.250]]}


(6)
{"formula": "NaZnGeSb2", "functional": "PBE", "state": "relaxed", "dos_ef_per_ev_fu": 3.0, "raw_formation_energy_ev_per_fu": 2.2, "dft_energy_ry_per_atom": -0.1954, "cell": [[5.260, 0.000, 0.000], [0.000, 5.027, 0.000], [0.000, 0.000, 5.260]], "species": ["Sb", "Sb", "Ge", "Na", "Zn"], "fractional_positions": [[0.000, 0.000, 0.500], [0.500, 0.000, 0.000], [0.500, 0.500, 0.500], [0.000, 0.500, 0.000], [0.000, 0.000, 0.000]]}


(7)
{"formula": "Na3ScGe", "functional": "PBE", "state": "relaxed", "dos_ef_per_ev_fu": 6.3, "delta_e_f_ev_per_atom": 0.579, "polymorph_energy_mev_per_atom": 0, "dft_energy_ry_per_atom": -0.1765, "cell": [[-0.531, -3.886, -3.820], [-1.992, -3.434, 3.770], [-5.072, 1.756, -1.081]], "species": ["Na", "Na", "Ge", "Sc", "Na"], "fractional_positions": [[0.000, 0.000, 0.500], [0.500, 0.000, 0.000], [0.000, 0.000, 0.000], [0.500, 0.500, 0.500], [0.000, 0.500, 0.000]]}


(8)
{"formula": "NaScGe", "functional": "PBE", "state": "relaxed", "dos_ef_per_ev_fu": 0.0, "delta_e_f_ev_per_atom": -0.284, "dft_energy_ry_per_atom": -0.3214, "cell": [[-6.585, -0.274, -1.729], [0.176, -4.307, 0.010], [-2.228, -0.072, 8.499]], "species": ["Ge", "Na", "Sc", "Sc", "Ge", "Ge", "Na", "Sc", "Na", "Na", "Ge", "Sc"], "fractional_positions": [[0.202, 0.750, 0.862], [0.866, 0.250, 0.455], [0.556, 0.750, 0.331], [0.944, 0.250, 0.831], [0.298, 0.250, 0.362], [0.702, 0.750, 0.638], [0.366, 0.250, 0.045], [0.444, 0.250, 0.669], [0.634, 0.750, 0.955], [0.134, 0.750, 0.545], [0.798, 0.250, 0.138], [0.056, 0.750, 0.169]]}